1.
Material: Hf2CoPb
Method: DFT, PBE-GGA
State: relaxed

a b c (Å): 4.803 4.803 4.803
angles (deg): 60.00 60.00 60.00
Fractional coordinates of all 4 atoms:
Co1 0.250 0.250 0.250
Hf1 0.000 0.000 0.000
Hf2 0.750 0.750 0.750
Pb1 0.500 0.500 0.500

2.
Material: HfCo2Pb
Method: DFT, PBE-GGA
State: relaxed

a b c (Å): 4.504 4.504 4.504
angles (deg): 60.00 60.00 60.00
Fractional coordinates of all 4 atoms:
Co1 0.000 0.000 0.000
Co2 0.750 0.750 0.750
Hf1 0.250 0.250 0.250
Pb1 0.500 0.500 0.500

Short version: M_tot = 3.0, 0.0 μB/f.u., in the order given.
Short version: uncorrected energy = -7.29, -6.54 eV/atom, in the order given.